Entry P
A geometry-optimized BaUSb2 structure. Source: the Alexandria database, functional PBE.

Lattice parameters (Å, degrees): 3.8661 3.8661 8.3340 90.00 90.00 90.00
With the nearest neighbours (Å) after each atom.
Space group P4/mmm (No. 123)
One atom of each set of equivalent atoms:
Ba (0.0000, 0.0000, 0.0000) x1  8 Sb 3.63, 4 Ba 3.87
U (0.0000, 0.0000, 0.5000) x1  8 Sb 3.26
Sb (0.5000, 0.5000, 0.2872) x2  4 U 3.26, 1 Sb 3.55, 4 Ba 3.63

Output
Crystal system: tetragonal
Calculated density in g cm⁻³: 8.250
Calculated volume in Å³ per cell: 124.6



Entry Q
A geometry-optimized BaUSb2 structure. Source: the Alexandria database, functional PBE.

Lattice parameters (Å, degrees): 4.6132 4.6132 23.7047 90.00 90.00 120.00
With the nearest neighbours (Å) after each atom.
Space group R-3m (No. 166, hexagonal axes)
One atom of each set of equivalent atoms:
Ba (0.0000, 0.0000, 0.0000) x3  6 Sb 3.53
U (0.0000, 0.0000, 0.5000) x3  6 Sb 3.12
Sb (0.0000, 0.0000, 0.2355) x6  3 U 3.12

Output
Crystal system: trigonal
Calculated density in g cm⁻³: 7.057
Calculated volume in Å³ per cell: 436.9



Which is less stable than every other structure shown? entry P is.